This record from the Alexandria database describes a geometry-optimized Ce2ReTcN6 structure. The functional is GGA-PBE.

**V**: 12.03 A^3/atom
**Space-group type**: P2_1/c, No. 14
**Crystal system**: monoclinic
**Uncorrected formation energy**: -0.725 eV/atom
**Energy**: -9.188 eV/atom

```
data_Ce2ReTcN6
_symmetry_space_group_name_H-M 'P 1'
_symmetry_Int_Tables_number 1
_cell_length_a 5.479
_cell_length_b 5.648
_cell_length_c 9.506
_cell_angle_alpha 90.00
_cell_angle_beta 125.13
_cell_angle_gamma 90.00
loop_
_symmetry_equiv_pos_as_xyz
'x,y,z'
loop_
_atom_site_label
_atom_site_type_symbol
_atom_site_fract_x
_atom_site_fract_y
_atom_site_fract_z
Ce1 Ce 0.242 0.053 0.250
Ce2 Ce 0.242 0.447 0.750
Ce3 Ce 0.758 0.553 0.250
Ce4 Ce 0.758 0.947 0.750
Re1 Re 0.000 0.000 0.500
Re2 Re 0.000 0.500 0.000
Tc1 Tc 0.500 0.000 0.000
Tc2 Tc 0.500 0.500 0.500
N1 N 0.151 0.204 0.956
N2 N 0.151 0.296 0.456
N3 N 0.258 0.699 0.957
N4 N 0.258 0.801 0.457
N5 N 0.329 0.018 0.748
N6 N 0.329 0.482 0.248
N7 N 0.671 0.518 0.752
N8 N 0.671 0.982 0.252
N9 N 0.742 0.199 0.543
N10 N 0.742 0.301 0.043
N11 N 0.849 0.704 0.544
N12 N 0.849 0.796 0.044
```